Compound: CoAsNF2
Source: Alexandria via LeMat-Bulk
Functional: GGA+U
Structure: optimized geometry

Computed properties:
Energy above the most stable polymorph in this dataset   0.098 eV per atom
Space-group type   No. 123
E   -22.0 eV/cell

```
CoAsNF2
1.0
4.132 0.000 0.000
0.000 4.132 0.000
0.000 0.000 4.036
Co As N F
1 1 1 2
Direct
0.000 0.000 0.000 Co
0.500 0.500 0.500 As
0.500 0.500 0.000 N
0.000 0.500 0.500 F
0.500 0.000 0.500 F
```